Pm2NpVO8: relaxed, PBE+U.

Output
raw total energy	-103.2	eV per cell
total moment	2.000	μB per formula unit
V	14.6	Å³ per atom

Cell lengths 5.0700, 5.0768, 6.8142 Å; angles 89.98, 89.99, 87.64 degrees
Space group P-1 (No. 2)
Asymmetric unit:
Pm 0.0082 0.4921 0.2412 [2 per cell]
Np 0.5000 0.0000 0.5000 [1 per cell]
V 0.5000 0.0000 0.0000 [1 per cell]
O 0.2106 0.2908 0.5052 [2 per cell]
O 0.2384 0.2625 0.9940 [2 per cell]
O 0.3193 0.8289 0.2521 [2 per cell]
O 0.3277 0.8203 0.7479 [2 per cell]